No. 1
Density functional theory data (PBE-GGA) for crystalline VGaIr at its relaxed geometry.

Values from the calculation:
Total magnetic moment: 0.00 μB per formula unit
DOS at the Fermi energy: 1.6 states/eV/f.u.
ΔH_f (0 K): -0.350 eV per atom

Geometry as POSCAR:
```
VGaIr
1.0
2.899 0.000 0.000
0.000 2.890 0.000
0.000 1.445 10.801
Ir V Ga
2 2 2
direct
0.750 0.860 0.279
0.250 0.140 0.721
0.250 0.288 0.424
0.750 0.712 0.576
0.250 0.445 0.110
0.750 0.555 0.890
```

No. 2
Density functional theory data (PBE-GGA) for crystalline VGaIr at its relaxed geometry.

Values from the calculation:
Total magnetic moment: 0.73 μB per formula unit
DOS at the Fermi energy: 4.9 states/eV/f.u.
ΔH_f (0 K): -0.268 eV per atom

Geometry as POSCAR:
```
VGaIr
1.0
4.151 0.000 0.000
2.075 3.595 0.000
2.075 1.198 3.389
V Ir Ga
1 1 1
direct
0.000 0.000 0.000
0.250 0.250 0.250
0.500 0.500 0.500
```

No. 3
Density functional theory data (PBE-GGA) for crystalline VGaIr at its relaxed geometry.

Values from the calculation:
Total magnetic moment: 0.00 μB per formula unit
DOS at the Fermi energy: 2.3 states/eV/f.u.
ΔH_f (0 K): -0.408 eV per atom

Geometry as POSCAR:
```
VGaIr
1.0
-4.162 3.016 -0.231
-0.820 -0.828 3.966
7.829 3.746 2.401
V Ga Ir
4 4 4
direct
0.747 0.000 0.000
0.253 0.500 0.500
0.747 0.500 0.500
0.253 0.000 0.000
0.889 0.000 0.337
0.889 0.500 0.837
0.111 0.000 0.663
0.111 0.500 0.163
0.380 0.500 0.829
0.620 0.500 0.171
0.380 0.000 0.329
0.620 0.000 0.671
```

No. 4
Density functional theory data (PBE-GGA) for crystalline VGa3Ir at its relaxed geometry.

Values from the calculation:
Total magnetic moment: 0.01 μB per formula unit
DOS at the Fermi energy: 3.9 states/eV/f.u.
ΔH_f (0 K): 1.049 eV per atom

Geometry as POSCAR:
```
VGa3Ir
1.0
4.621 0.000 0.000
0.000 4.621 0.000
0.000 0.000 4.621
Ga Ir V
3 1 1
direct
0.000 0.500 0.000
0.500 0.000 0.000
0.000 0.000 0.500
0.500 0.500 0.500
0.000 0.000 0.000
```

No. 5
Density functional theory data (PBE-GGA) for crystalline V3GaIr at its relaxed geometry.

Values from the calculation:
Total magnetic moment: 0.33 μB per formula unit
Relative energy among the computed polymorphs: 1.1642 eV per atom
DOS at the Fermi energy: 7.1 states/eV/f.u.
ΔH_f (0 K): 0.878 eV per atom

Geometry as POSCAR:
```
V3GaIr
1.0
-4.005 2.006 1.046
-2.231 -3.857 -1.145
0.377 -1.504 4.331
Ga V Ir
1 3 1
direct
0.500 0.500 0.500
0.500 0.000 0.000
0.000 0.500 0.000
0.000 0.000 0.500
0.000 0.000 0.000
```

No. 6
Density functional theory data (PBE-GGA) for crystalline VGaIr at its relaxed geometry.

Values from the calculation:
Total magnetic moment: 0.00 μB per formula unit
DOS at the Fermi energy: 2.3 states/eV/f.u.
ΔH_f (0 K): -0.373 eV per atom

Geometry as POSCAR:
```
VGaIr
1.0
3.746 0.000 0.000
0.000 2.822 0.000
0.000 0.000 8.019
Ir Ga V
2 2 2
direct
0.000 0.000 0.300
0.500 0.500 0.800
0.000 0.000 0.968
0.500 0.500 0.468
0.500 0.500 0.136
0.000 0.000 0.636
```